A plane-wave DFT calculation with PBE was carried out for a relaxed TbGa4Cu2Tc crystal.

abc: 4.1629 4.1629 27.0826
angles: 90.00 90.00 120.00
Space group R-3m (No. 166, hexagonal axes)
Unique sites:
Tb (0.0000, 0.0000, 0.0000)
Ga (0.0000, 0.0000, 0.1302)
Ga (0.0000, 0.0000, 0.4005)
Cu (0.0000, 0.0000, 0.2335)
Tc (0.0000, 0.0000, 0.5000)

Output
DFT formation energy = -231 meV per atom

---

A plane-wave DFT calculation with PBE was carried out for a relaxed Cs12Ag5Bi3 crystal.

abc: 22.298 22.298 22.298
angles: 90.00 90.00 90.00
Space group Ia-3d (No. 230)
Unique sites:
Cs (0.016, 0.069, 0.655)
Ag (0.000, 0.000, 0.000)
Ag (0.000, 0.250, 0.375)
Bi (0.000, 0.250, 0.125)

Output
DFT formation energy = -42 meV per atom

---

| no. | total DFT energy (no corrections) (eV per atom) |
| --- | --- |
| 1 | -4.643 |
| 2 | -1.849 |